# 1
Fe2PRh: optimized geometry, PBE-GGA.

The magnetic moment comes out at 0.00 Bohr magnetons per cell. The value obtained for the energy of formation from the pure elements is -0.4 eV per formula unit.

The structure belongs to space group P2/m (No. 10); the cell edges are 2.699, 3.642 and 4.894 Å and the angles 90.00°, 104.45° and 90.00°. The inequivalent atoms are Fe at (0.134, 0.000, 0.271), P at (0.500, 0.500, 0.500) and Rh at (0.500, 0.500, 0.000).


# 2
BaSr2CdN: optimized geometry, PBE-GGA.

The value obtained for the uncorrected formation energy is -354 meV/atom. The magnetic moment comes out at 0.00 Bohr magnetons per cell.

The structure belongs to space group P4/mmm (No. 123); the cell edges are 5.279, 5.279 and 5.790 Å and the angles 90.00°, 90.00° and 90.00°. The inequivalent atoms are Ba at (0.000, 0.000, 0.000), Sr at (0.000, 0.500, 0.500), Cd at (0.500, 0.500, 0.000) and N at (0.000, 0.000, 0.500).


- Look up the magnetic moment of the first one.
  0.00 Bohr magnetons per cell